Record 1
MnBi2HS | Alexandria | SCAN | PBEsol geometry; E_tot = -37.495 eV/atom; density of states at the Fermi level = 1.93 states/eV/cell; crystal system = tetragonal
1.0
5.6135 0.0000 0.0000
0.0000 5.6135 0.0000
0.0000 0.0000 3.1985
Mn Bi H S
1 2 1 1
Cartesian
0.0000 0.0000 0.0000
0.0000 2.8067 1.5993
2.8067 0.0000 1.5993
2.8067 2.8067 0.0000
2.8067 2.8067 1.5993

---

Record 2
Tb3In12Pt4 | Alexandria | SCAN | PBEsol geometry; formation enthalpy at 0 K = -711 meV per atom; density of states at the Fermi level = 13.29 states/eV/cell; crystal system = trigonal
1.0
9.8615 0.0000 0.0000
-4.9308 8.5403 0.0000
0.0000 0.0000 15.1598
Tb In Pt
9 36 12
Cartesian
0.0000 0.0000 0.0000
-2.3732 4.3234 2.9598
0.0000 5.6935 7.7690
2.3732 4.3234 2.9598
0.0000 8.4339 2.9598
4.9308 0.1065 12.2000
2.5576 4.2169 12.2000
4.9308 2.8468 7.3909
7.3039 4.2169 12.2000
0.0000 0.0000 5.6483
0.0000 0.0000 9.5115
-1.4075 2.4379 7.5799
-1.7284 2.9937 0.0000
-3.2023 5.5466 0.0000
-3.5232 6.1024 7.5799
0.0000 2.0506 2.6669
-3.1549 7.5150 2.6669
0.0000 3.6228 10.3889
-1.7933 6.7289 10.3889
0.0000 3.7984 5.0289
-1.6413 6.6411 5.0289
1.7759 1.0253 12.4929
2.8151 0.0000 7.5799
1.4075 2.4379 7.5799
0.0000 5.6935 1.3198
0.0000 5.6935 13.3736
3.4569 0.0000 0.0000
1.7284 2.9937 0.0000
3.1374 1.8114 4.7710
3.2895 1.8992 10.1309
1.6413 6.6411 5.0289
1.7933 6.7289 10.3889
6.4047 0.0000 0.0000
3.2023 5.5466 0.0000
4.9308 2.8468 1.7862
4.9308 2.8468 13.8401
7.0464 0.0000 7.5799
3.5232 6.1024 7.5799
3.1549 7.5150 2.6669
6.5720 1.8992 10.1309
4.9308 4.7419 10.1309
6.7241 1.8114 4.7710
4.9308 4.9175 4.7710
8.0857 1.0253 12.4929
4.9308 6.4897 12.4929
-2.3884 4.3146 9.2464
0.0000 2.9499 13.0596
-2.3760 7.0653 13.0596
2.5547 1.4750 2.1003
2.3884 4.3146 9.2464
0.0000 8.4515 9.2464
4.9308 0.0889 5.9135
2.5423 4.2257 5.9135
2.3760 7.0653 13.0596
7.3068 1.4750 2.1003
4.9308 5.5904 2.1003
7.3192 4.2257 5.9135

---

Record 3
MnSeO2F | Alexandria | SCAN | PBEsol geometry; formation energy (no corrections) = -962 meV per atom; density of states at the Fermi level = 2.95 states/eV/cell; crystal system = tetragonal
1.0
3.8394 0.0000 0.0000
0.0000 3.8394 0.0000
0.0000 0.0000 3.8082
Mn Se O F
1 1 2 1
Cartesian
0.0000 0.0000 0.0000
1.9197 1.9197 1.9041
0.0000 1.9197 0.0000
1.9197 0.0000 0.0000
0.0000 0.0000 1.9041

---

Record 4
CsYMnSe3 | Alexandria | SCAN | PBEsol geometry; formation energy (no corrections) = -1691 meV per atom; crystal system = orthorhombic
1.0
2.0749 -7.8764 0.0000
2.0749 7.8764 0.0000
0.0000 0.0000 10.8801
Cs Y Mn Se
2 2 2 6
Cartesian
2.0749 4.0703 8.1601
2.0749 -4.0703 2.7200
2.0749 0.0000 0.0000
2.0749 0.0000 5.4401
2.0749 7.2793 2.7200
2.0749 -7.2793 8.1601
2.0749 6.0093 0.6242
2.0749 6.0093 4.8159
2.0749 0.8761 2.7200
2.0749 -0.8761 8.1601
2.0749 -6.0093 6.0642
2.0749 -6.0093 10.2559

---

Record 5
BaPW3 | Alexandria | SCAN | PBEsol geometry; formation enthalpy at 0 K = 1389 meV per atom; density of states at the Fermi level = 6.15 states/eV/cell; crystal system = cubic
1.0
4.6419 0.0000 0.0000
0.0000 4.6419 0.0000
0.0000 0.0000 4.6419
Ba P W
1 1 3
Cartesian
0.0000 0.0000 0.0000
2.3209 2.3209 2.3209
0.0000 2.3209 2.3209
2.3209 0.0000 2.3209
2.3209 2.3209 0.0000

---

Record 6
ZnSn2HOs | Alexandria | SCAN | PBEsol geometry; E_tot = -31.426 eV/atom; density of states at the Fermi level = 2.91 states/eV/cell; crystal system = tetragonal
1.0
4.6925 0.0000 0.0000
0.0000 4.6925 0.0000
0.0000 0.0000 3.4579
Zn Sn H Os
1 2 1 1
Cartesian
0.0000 0.0000 0.0000
0.0000 2.3462 1.7290
2.3462 0.0000 1.7290
0.0000 0.0000 1.7290
2.3462 2.3462 0.0000

---

Record 7
PdPbC2 | Alexandria | SCAN | PBEsol geometry; formation enthalpy at 0 K = 1529 meV per atom; density of states at the Fermi level = 3.28 states/eV/cell; crystal system = tetragonal
1.0
-2.5246 2.5246 4.9530
2.5246 -2.5246 4.9530
2.5246 2.5246 -4.9530
Pd Pb C
2 2 4
Cartesian
0.0000 0.0000 0.0000
0.0000 2.5246 2.4765
2.5246 0.0000 2.4765
0.0000 0.0000 4.9530
3.7869 0.9476 -1.2383
0.9476 1.2623 1.2383
-1.2623 1.5770 3.7148
1.5770 1.2623 6.1913

---

Record 8
PSe2Cl2 | Alexandria | SCAN | PBEsol geometry; formation energy (no corrections) = -374 meV per atom; density of states at the Fermi level = 0.00 states/eV/cell; crystal system = triclinic
1.0
6.3010 0.0000 0.0000
-0.0433 6.8885 0.0000
-3.0538 -2.0402 6.3705
P Se Cl
2 4 4
Cartesian
0.4163 1.0646 0.9599
2.7876 3.7838 5.4106
0.9400 3.2091 1.6444
-1.0880 1.4345 5.9373
4.2918 3.4138 0.4332
2.2638 1.6393 4.7261
-0.8014 0.4966 2.5453
2.1325 0.0230 1.4466
1.0713 4.8254 4.9240
4.0052 4.3518 3.8252

---

Record 9
BeIr2Rh | Alexandria | SCAN | PBEsol geometry; formation enthalpy at 0 K = -183 meV per atom; density of states at the Fermi level = 2.04 states/eV/cell; crystal system = tetragonal
1.0
-1.8672 1.8672 3.6709
1.8672 -1.8672 3.6709
1.8672 1.8672 -3.6709
Be Ir Rh
1 2 1
Cartesian
0.0000 0.0000 0.0000
1.8672 0.0000 1.8355
0.0000 1.8672 1.8355
0.0000 0.0000 3.6709

---

Record 10
BaHfMn2 | Alexandria | SCAN | PBEsol geometry; formation enthalpy at 0 K = 557 meV per atom; density of states at the Fermi level = 2.59 states/eV/cell; crystal system = cubic
1.0
0.0000 3.4909 3.4909
3.4909 0.0000 3.4909
3.4909 3.4909 0.0000
Ba Hf Mn
1 1 2
Cartesian
0.0000 0.0000 0.0000
3.4909 3.4909 3.4909
1.7455 1.7455 1.7455
5.2364 5.2364 5.2364

---

Record 11
SiRu2WSe | Alexandria | SCAN | PBEsol geometry; formation energy (no corrections) = 1493 meV per atom; density of states at the Fermi level = 3.05 states/eV/cell; crystal system = tetragonal
1.0
4.3210 0.0000 0.0000
0.0000 4.3210 0.0000
0.0000 0.0000 4.5498
Si Ru W Se
1 2 1 1
Cartesian
0.0000 0.0000 0.0000
0.0000 2.1605 0.0000
2.1605 0.0000 0.0000
2.1605 2.1605 2.2749
0.0000 0.0000 2.2749

---

Record 12
KTePPd2 | Alexandria | SCAN | PBEsol geometry; formation energy (no corrections) = -198 meV per atom; density of states at the Fermi level = 3.51 states/eV/cell; crystal system = tetragonal
1.0
4.5601 0.0000 0.0000
0.0000 4.5601 0.0000
0.0000 0.0000 5.5347
K Te P Pd
1 1 1 2
Cartesian
0.0000 0.0000 0.0000
2.2801 2.2801 0.0000
2.2801 2.2801 2.7674
0.0000 2.2801 2.7674
2.2801 0.0000 2.7674

---

| no. | magnetization (μB per formula unit) |
| --- | --- |
| 1 | 4.34 |
| 2 | 0.00 |
| 3 | 2.47 |
| 4 | 5.00 |
| 5 | 0.00 |
| 6 | 0.00 |
| 7 | 0.00 |
| 8 | 0.00 |
| 9 | 0.00 |
| 10 | 6.44 |
| 11 | 1.95 |
| 12 | 0.00 |